! Pr2Er2Tm5, optimized geometry, DFT PBE; values from VASP
! Energy above the lowest structure with this stoichiometry = 0 meV per atom
! Energy relative to the elements = 216 meV per atom
&SYSTEM
  ibrav = 0, nat = 18, ntyp = 3
/
ATOMIC_SPECIES
Pr 140.91 Pr.upf
Er 167.26 Er.upf
Tm 168.93 Tm.upf
ATOMIC_POSITIONS crystal
Pr 0.0063 0.1272 0.1335
Pr 0.0063 0.3728 0.3791
Pr 0.9937 0.6272 0.6209
Pr 0.9937 0.8728 0.8665
Er 0.4337 0.6976 0.2360
Er 0.4616 0.1976 0.7640
Er 0.5543 0.0543 0.5000
Er 0.5543 0.5543 0.0000
Tm 0.1096 0.2957 0.7067
Tm 0.1096 0.9029 0.3139
Tm 0.3978 0.3966 0.5012
Tm 0.4352 0.0283 0.1215
Tm 0.4352 0.8137 0.9069
Tm 0.5891 0.4029 0.2933
Tm 0.5891 0.7957 0.6861
Tm 0.8954 0.8966 0.4988
Tm 0.9069 0.3137 0.8785
Tm 0.9069 0.5283 0.0931
CELL_PARAMETERS angstrom
-7.4420 5.8458 3.3530
7.4420 -5.8458 3.3530
7.4420 5.8458 -3.3530